## Li2ReAu (PBE-GGA)

Data for a geometry-optimized Li2ReAu structure.

Results
- Size of the total moment: 1.69 μB per cell
- N(E_F): 0.749 states/eV per atom
- ΔH_f (0 K): 0.43 eV per atom
- Crystal system: tetragonal
- DFT total energy: -4.4547 eV per atom

The structure in CIF format:
```
data_Li2ReAu
_symmetry_space_group_name_H-M 'P 4/m m m'
_symmetry_Int_Tables_number 123
_symmetry_space_group_name_Hall '-P 4 2'
_cell_length_a 3.8223
_cell_length_b 3.8223
_cell_length_c 4.1776
_cell_angle_alpha 90.00
_cell_angle_beta 90.00
_cell_angle_gamma 90.00
loop_
_atom_site_label
_atom_site_fract_x
_atom_site_fract_y
_atom_site_fract_z
Li1 0.0000 0.5000 0.0000
Re1 0.0000 0.0000 0.5000
Au1 0.5000 0.5000 0.5000
```